! Sm2CuCl | Alexandria via LeMat-Bulk | GGA-PBE | relaxed; values from VASP
&SYSTEM
  ibrav = 0, nat = 4, ntyp = 3
/
ATOMIC_SPECIES
Sm 150.36 Sm.upf
Cu 63.55 Cu.upf
Cl 35.45 Cl.upf
CELL_PARAMETERS angstrom
1.9882 1.1479 7.4554
-1.9882 1.1479 7.4554
0.0000 -2.2958 7.4554
ATOMIC_POSITIONS crystal
Sm 0.0000 0.0000 0.0000
Sm 0.1865 0.1865 0.1865
Cu 0.5926 0.5926 0.5926
Cl 0.7618 0.7618 0.7618
! formation energy without anion corrections: -0.716 eV/atom
! calculated density: 6.50 g/cm3
! calculated volume: 102 Å³ per cell
! distance to the lowest polymorph of the same formula: 0.047 eV/atom

! SmCuCl6 | Alexandria via LeMat-Bulk | GGA-PBE | relaxed; values from VASP
&SYSTEM
  ibrav = 0, nat = 8, ntyp = 3
/
ATOMIC_SPECIES
Sm 150.36 Sm.upf
Cu 63.55 Cu.upf
Cl 35.45 Cl.upf
CELL_PARAMETERS angstrom
5.5476 0.0000 0.0000
0.1812 6.8264 0.0000
1.9946 2.5242 6.3686
ATOMIC_POSITIONS crystal
Sm 0.0000 0.0000 0.0000
Cu 0.5000 0.5000 0.0000
Cl 0.0015 0.8009 0.3884
Cl 0.2825 0.3889 0.8319
Cl 0.4307 0.8275 0.8298
Cl 0.5693 0.1725 0.1702
Cl 0.7175 0.6111 0.1681
Cl 0.9985 0.1991 0.6116
! formation energy without anion corrections: -1.182 eV/atom
! calculated density: 2.94 g/cm3
! calculated volume: 241 Å³ per cell

! Sm4CuCl5 | Alexandria via LeMat-Bulk | GGA-PBE | relaxed; values from VASP
&SYSTEM
  ibrav = 0, nat = 10, ntyp = 3
/
ATOMIC_SPECIES
Sm 150.36 Sm.upf
Cu 63.55 Cu.upf
Cl 35.45 Cl.upf
CELL_PARAMETERS angstrom
8.9286 -1.9674 0.0000
8.9286 1.9674 0.0000
-1.8894 0.0000 8.1551
ATOMIC_POSITIONS crystal
Sm 0.0015 0.0015 0.2336
Sm 0.3421 0.3421 0.9178
Sm 0.6579 0.6579 0.0822
Sm 0.9985 0.9985 0.7664
Cu 0.5000 0.5000 0.0000
Cl 0.1672 0.1672 0.3267
Cl 0.1709 0.1709 0.8379
Cl 0.5000 0.5000 0.5000
Cl 0.8291 0.8291 0.1621
Cl 0.8328 0.8328 0.6733
! formation energy without anion corrections: -1.535 eV/atom
! calculated density: 4.88 g/cm3
! calculated volume: 287 Å³ per cell

! Sm7CuCl12 | Alexandria via LeMat-Bulk | GGA-PBE | relaxed; values from VASP
&SYSTEM
  ibrav = 0, nat = 20, ntyp = 3
/
ATOMIC_SPECIES
Sm 150.36 Sm.upf
Cu 63.55 Cu.upf
Cl 35.45 Cl.upf
CELL_PARAMETERS angstrom
7.3120 4.2216 3.1846
-7.3120 4.2216 3.1846
0.0000 -8.4431 3.1846
ATOMIC_POSITIONS crystal
Sm 0.0000 0.0000 0.0000
Sm 0.1661 0.4620 0.3758
Sm 0.3758 0.1661 0.4620
Sm 0.4620 0.3758 0.1661
Sm 0.5380 0.6242 0.8339
Sm 0.6242 0.8339 0.5380
Sm 0.8339 0.5380 0.6242
Cu 0.5000 0.5000 0.5000
Cl 0.0204 0.1101 0.3345
Cl 0.1101 0.3345 0.0204
Cl 0.1910 0.5786 0.7150
Cl 0.2850 0.8090 0.4214
Cl 0.3345 0.0204 0.1101
Cl 0.4214 0.2850 0.8090
Cl 0.5786 0.7150 0.1910
Cl 0.6655 0.9796 0.8899
Cl 0.7150 0.1910 0.5786
Cl 0.8090 0.4214 0.2850
Cl 0.8899 0.6655 0.9796
Cl 0.9796 0.8899 0.6655
! formation energy without anion corrections: -1.831 eV/atom
! calculated density: 4.34 g/cm3
! calculated volume: 590 Å³ per cell

! SmTlCuCl5 | Alexandria via LeMat-Bulk | GGA-PBE | relaxed; values from VASP
&SYSTEM
  ibrav = 0, nat = 16, ntyp = 4
/
ATOMIC_SPECIES
Sm 150.36 Sm.upf
Tl 204.38 Tl.upf
Cu 63.55 Cu.upf
Cl 35.45 Cl.upf
CELL_PARAMETERS angstrom
4.4430 -5.9951 0.0000
4.4430 5.9951 0.0000
-4.0374 0.0000 9.3196
ATOMIC_POSITIONS crystal
Sm 0.0000 0.0000 0.0000
Sm 0.0000 0.0000 0.5000
Tl 0.3540 0.6460 0.7500
Tl 0.6460 0.3540 0.2500
Cu 0.3093 0.6907 0.2500
Cu 0.6907 0.3093 0.7500
Cl 0.0822 0.9178 0.7500
Cl 0.0938 0.6877 0.3823
Cl 0.2454 0.3834 0.0772
Cl 0.3123 0.9062 0.1177
Cl 0.3834 0.2454 0.5772
Cl 0.6166 0.7546 0.4228
Cl 0.6877 0.0938 0.8823
Cl 0.7546 0.6166 0.9228
Cl 0.9062 0.3123 0.6177
Cl 0.9178 0.0822 0.2500
! formation energy without anion corrections: -1.491 eV/atom
! calculated density: 3.98 g/cm3
! calculated volume: 496 Å³ per cell

! CuSnCl4 | Alexandria via LeMat-Bulk | GGA-PBE | relaxed; values from VASP
&SYSTEM
  ibrav = 0, nat = 12, ntyp = 3
/
ATOMIC_SPECIES
Cu 63.55 Cu.upf
Sn 118.71 Sn.upf
Cl 35.45 Cl.upf
CELL_PARAMETERS angstrom
6.8881 0.0000 0.0000
0.0000 7.0121 0.0000
0.0000 0.0000 8.2655
ATOMIC_POSITIONS crystal
Cu 0.0000 0.0000 0.0000
Cu 0.0000 0.5000 0.5000
Sn 0.0000 0.0000 0.5000
Sn 0.5000 0.0000 0.0000
Cl 0.2061 0.1592 0.8222
Cl 0.2061 0.8408 0.1778
Cl 0.2169 0.2765 0.3991
Cl 0.2169 0.7235 0.6009
Cl 0.7831 0.2765 0.6009
Cl 0.7831 0.7235 0.3991
Cl 0.7939 0.1592 0.1778
Cl 0.7939 0.8408 0.8222
! formation energy without anion corrections: -0.645 eV/atom
! calculated density: 2.70 g/cm3
! calculated volume: 399 Å³ per cell

! CuSnCl2 | Alexandria via LeMat-Bulk | GGA-PBE | relaxed; values from VASP
&SYSTEM
  ibrav = 0, nat = 4, ntyp = 3
/
ATOMIC_SPECIES
Cu 63.55 Cu.upf
Sn 118.71 Sn.upf
Cl 35.45 Cl.upf
CELL_PARAMETERS angstrom
1.7733 1.0238 8.4241
-1.7733 1.0238 8.4241
0.0000 -2.0476 8.4241
ATOMIC_POSITIONS crystal
Cu 0.0000 0.0000 0.0000
Sn 0.5000 0.5000 0.5000
Cl 0.3894 0.3894 0.3894
Cl 0.6106 0.6106 0.6106
! formation energy without anion corrections: -0.426 eV/atom
! calculated density: 4.58 g/cm3
! calculated volume: 92 Å³ per cell
! distance to the lowest polymorph of the same formula: 0.000 eV/atom

! Cu2SnCl6 | Alexandria via LeMat-Bulk | GGA-PBE | relaxed; values from VASP
&SYSTEM
  ibrav = 0, nat = 18, ntyp = 3
/
ATOMIC_SPECIES
Cu 63.55 Cu.upf
Sn 118.71 Sn.upf
Cl 35.45 Cl.upf
CELL_PARAMETERS angstrom
8.7065 -6.5858 0.0000
8.7065 6.5858 0.0000
-1.7599 0.0000 5.3348
ATOMIC_POSITIONS crystal
Cu 0.2300 0.2301 0.4360
Cu 0.2301 0.2300 0.9360
Cu 0.7699 0.7700 0.0640
Cu 0.7700 0.7699 0.5640
Sn 0.2762 0.7238 0.7500
Sn 0.7238 0.2762 0.2500
Cl 0.0953 0.7493 0.4299
Cl 0.1094 0.3525 0.1867
Cl 0.2507 0.9047 0.0701
Cl 0.2949 0.5360 0.8929
Cl 0.3525 0.1094 0.6867
Cl 0.4640 0.7051 0.6071
Cl 0.5360 0.2949 0.3929
Cl 0.6475 0.8906 0.3133
Cl 0.7051 0.4640 0.1071
Cl 0.7493 0.0953 0.9299
Cl 0.8906 0.6475 0.8133
Cl 0.9047 0.2507 0.5701
! formation energy without anion corrections: -0.694 eV/atom
! calculated density: 2.49 g/cm3
! calculated volume: 612 Å³ per cell
! distance to the lowest polymorph of the same formula: 0.000 eV/atom

Copy entry 1 word for word.
! Sm2CuCl | Alexandria via LeMat-Bulk | GGA-PBE | relaxed; values from VASP
&SYSTEM
  ibrav = 0, nat = 4, ntyp = 3
/
ATOMIC_SPECIES
Sm 150.36 Sm.upf
Cu 63.55 Cu.upf
Cl 35.45 Cl.upf
CELL_PARAMETERS angstrom
1.9882 1.1479 7.4554
-1.9882 1.1479 7.4554
0.0000 -2.2958 7.4554
ATOMIC_POSITIONS crystal
Sm 0.0000 0.0000 0.0000
Sm 0.1865 0.1865 0.1865
Cu 0.5926 0.5926 0.5926
Cl 0.7618 0.7618 0.7618
! formation energy without anion corrections: -0.716 eV/atom
! calculated density: 6.50 g/cm3
! calculated volume: 102 Å³ per cell
! distance to the lowest polymorph of the same formula: 0.047 eV/atom

> Which value of calculated volume does entry 8 give?

612 Å³ per cell